No. 1
# PuCuGe

PuCuGe after structural relaxation (PBE, Alexandria).

* final energy: -7.996 eV/atom
* DFT formation energy: -0.94 eV per formula unit
* calculated volume: 19.4 Å³ per atom

Cell: 4.3622 4.3622 3.5334 Å, 90.00 90.00 120.00°
Space group P-6m2 (No. 187)
Unique sites:
Pu: 0.0000 0.0000 0.0000
Cu: 0.6667 0.3333 0.5000
Ge: 0.3333 0.6667 0.5000

***

No. 2
# SrSc2Cd

SrSc2Cd after structural relaxation (PBE, Alexandria).

* final energy: -3.684 eV/atom
* DFT formation energy: 0.52 eV per formula unit
* calculated volume: 28.9 Å³ per atom
* offset from the most stable computed form: 15.1 kJ/mol of atoms

Cell: 3.5231 5.1688 6.5264 Å, 90.00 103.82 90.00°
Space group P2/m (No. 10)
Unique sites:
Sr: 0.0000 0.0000 0.0000
Sc: 0.3237 0.5000 0.7073
Cd: 0.5000 0.0000 0.5000